*a*
VASP calculation (GGA-PBE) on Sm3Dy7 after structural relaxation.

Computed properties:
V (Å³ per cell): 321.0

Cell lengths 5.0369, 7.1517, 9.4306 Å; angles 100.89, 105.49, 90.00 degrees
Element x y z (fractional)
Sm (0.0000, 0.0000, 0.0000)
Sm (0.1993, 0.6000, 0.3986)
Dy (0.8002, 0.9004, 0.6004)
Dy (0.1998, 0.0996, 0.3996)
Sm (0.8007, 0.4000, 0.6014)
Dy (0.5996, 0.2996, 0.1991)
Dy (0.4004, 0.7004, 0.8009)
Dy (0.3998, 0.1995, 0.7997)
Dy (0.0000, 0.5000, 0.0000)
Dy (0.6002, 0.8005, 0.2003)

***

*b*
VASP calculation (GGA-PBE) on Sm3Dy7 after structural relaxation.

Computed properties:
V (Å³ per cell): 651.5

Cell lengths 6.4725, 10.7811, 10.7811 Å; angles 120.00, 90.00, 90.00 degrees
Element x y z (fractional)
Sm (0.8661, 0.2044, 0.7956)
Dy (0.5175, 0.3333, 0.6667)
Dy (0.3848, 0.1205, 0.2409)
Dy (0.0175, 0.6667, 0.3333)
Dy (0.7126, 0.5294, 0.0588)
Dy (0.3848, 0.1205, 0.8795)
Sm (0.3661, 0.7956, 0.2044)
Dy (0.3848, 0.7591, 0.8795)
Sm (0.3661, 0.4087, 0.2044)
Dy (0.8848, 0.8795, 0.1205)
Dy (0.7126, 0.9412, 0.4706)
Dy (0.2126, 0.4706, 0.9412)
Dy (0.2126, 0.4706, 0.5294)
Dy (0.8848, 0.8795, 0.7591)
Dy (0.7126, 0.5294, 0.4706)
Sm (0.8661, 0.5913, 0.7956)
Sm (0.8661, 0.2044, 0.4087)
Sm (0.3661, 0.7956, 0.5913)
Dy (0.8848, 0.2409, 0.1205)
Dy (0.2126, 0.0588, 0.5294)

***

Least stable = *b*